Pm3InIr3 after structural relaxation, computed with GGA-PBE.

Unit cell a=5.689 b=5.689 c=13.822 alpha=90.00 beta=90.00 gamma=133.91
Positions (direct):
Pm  0.017  0.983  0.750
Pm  0.300  0.700  0.607
Pm  0.300  0.700  0.893
Pm  0.700  0.300  0.107
Pm  0.700  0.300  0.393
Pm  0.983  0.017  0.250
In  0.000  0.000  0.000
In  0.000  0.000  0.500
Ir  0.262  0.738  0.250
Ir  0.407  0.593  0.094
Ir  0.407  0.593  0.406
Ir  0.593  0.407  0.594
Ir  0.593  0.407  0.906
Ir  0.738  0.262  0.750

Output
Space group: Cmcm, No. 63
Formation enthalpy at 0 K in eV/atom: -0.671
Raw total energy in eV/atom: -6.895